No. 1
Density functional theory data (GGA-PBE) for crystalline PmIn4Hg at its relaxed geometry.

calculated total energy = -2.78 eV per atom
calculated formation energy = -115.7 meV/atom

abc: 6.1339 6.1339 6.1339
angles: 60.00 60.00 60.00
Fractional positions:
In 0.6249 0.1252 0.6249
Pm 0.2500 0.2500 0.2500
In 0.1252 0.6249 0.6249
In 0.6249 0.6249 0.6249
In 0.6249 0.6249 0.1252
Hg 0.0000 0.0000 0.0000

---

No. 2
Density functional theory data (GGA-PBE) for crystalline Pm3InHg12 at its relaxed geometry.

calculated total energy = -1.56 eV per atom
calculated formation energy = -271.2 meV/atom

abc: 4.7179 4.7179 18.3460
angles: 90.00 90.00 90.00
Fractional positions:
Hg 0.5000 0.0000 0.3742
Hg 0.5000 0.5000 0.5000
Hg 0.5000 0.5000 0.7473
Hg 0.5000 0.5000 0.0000
Hg 0.0000 0.5000 0.3742
Pm 0.0000 0.0000 0.5000
Hg 0.5000 0.0000 0.1223
Hg 0.5000 0.0000 0.8777
Pm 0.0000 0.0000 0.2414
Hg 0.5000 0.0000 0.6258
Hg 0.0000 0.5000 0.6258
Pm 0.0000 0.0000 0.7586
Hg 0.5000 0.5000 0.2527
Hg 0.0000 0.5000 0.1223
In 0.0000 0.0000 0.0000
Hg 0.0000 0.5000 0.8777

---

No. 3
Density functional theory data (GGA-PBE) for crystalline Pm4InHg7 at its relaxed geometry.

calculated total energy = -2.27 eV per atom
calculated formation energy = -286.0 meV/atom

abc: 5.4740 9.7918 7.2192
angles: 78.84 67.72 73.77
Fractional positions:
Hg 0.6359 0.4672 0.2610
Hg 0.5000 0.0000 0.0000
In 0.0000 0.0000 0.0000
Pm 0.4197 0.7773 0.3834
Hg 0.1943 0.0820 0.5294
Pm 0.7421 0.6772 0.8386
Hg 0.8057 0.9180 0.4706
Pm 0.5803 0.2227 0.6166
Hg 0.3641 0.5328 0.7390
Pm 0.2579 0.3228 0.1614
Hg 0.0806 0.6603 0.1786
Hg 0.9194 0.3397 0.8214

---

No. 4
Density functional theory data (GGA-PBE) for crystalline Pm4In2Hg3 at its relaxed geometry.

calculated total energy = -3.23 eV per atom
calculated formation energy = -411.4 meV/atom

abc: 5.0416 5.9449 9.6161
angles: 72.40 90.01 64.91
Last column: magnetic moment on the atom in μB.
Fractional positions:
Pm 0.0557 0.8885 0.3471  0.01
Pm 0.3528 0.2944 0.1071  0.10
Hg 0.0000 0.0000 0.0000  0.00
In 0.2858 0.4286 0.7427  0.00
Hg 0.3582 0.2835 0.4365  0.00
In 0.7142 0.5714 0.2573  0.00
Hg 0.6418 0.7165 0.5635  0.00
Pm 0.9443 0.1115 0.6529  0.01
Pm 0.6472 0.7056 0.8929  0.10

---

No. 5
Density functional theory data (GGA-PBE) for crystalline Pm2In3Hg4 at its relaxed geometry.

calculated total energy = -2.37 eV per atom
energy above the lowest structure with this stoichiometry = 68 meV per atom
calculated formation energy = -265.4 meV/atom

abc: 6.4041 8.7403 8.9103
angles: 90.00 111.06 90.00
Fractional positions:
Pm 0.8875 0.4198 0.7750
Hg 0.6755 0.5438 0.3510
In 0.5297 0.7500 0.5593
Hg 0.3245 0.4562 0.6490
Pm 0.3875 0.0802 0.7750
Hg 0.7962 0.2500 0.0925
In 0.4703 0.2500 0.4407
Hg 0.7038 0.7500 0.9075
Hg 0.2962 0.2500 0.0925
Pm 0.1125 0.5802 0.2250
Hg 0.1755 0.9562 0.3510
Pm 0.6125 0.9198 0.2250
Hg 0.2038 0.7500 0.9075
Hg 0.8245 0.0438 0.6490
In 0.9703 0.2500 0.4407
In 0.0297 0.7500 0.5593
In 0.5000 0.5000 0.0000
In 0.0000 0.0000 0.0000

---

No. 6
Density functional theory data (GGA-PBE) for crystalline PmIn2Hg2 at its relaxed geometry.

calculated total energy = -2.21 eV per atom
calculated formation energy = -41.2 meV/atom

abc: 5.1770 5.1770 12.7116
angles: 90.00 90.00 120.00
Fractional positions:
In 0.0000 0.0000 0.0000
Hg 0.6667 0.3333 0.1182
Hg 0.3333 0.6667 0.6182
Hg 0.6667 0.3333 0.3818
Pm 0.0000 0.0000 0.7500
In 0.0000 0.0000 0.5000
Hg 0.3333 0.6667 0.8818
In 0.3333 0.6667 0.2500
In 0.6667 0.3333 0.7500
Pm 0.0000 0.0000 0.2500

---

No. 7
Density functional theory data (GGA-PBE) for crystalline Pm2In3Hg4 at its relaxed geometry.

calculated total energy = -2.44 eV per atom
energy above the lowest structure with this stoichiometry = 0 meV per atom
calculated formation energy = -333.0 meV/atom

abc: 5.1107 5.1142 10.2507
angles: 89.88 90.01 60.02
Fractional positions:
Hg 0.6664 0.6672 0.8930
Hg 0.9995 0.0010 0.6666
Hg 0.3336 0.3328 0.1070
In 0.6664 0.6671 0.5613
In 0.3336 0.3329 0.4387
In 0.0000 0.0000 0.0000
Pm 0.6672 0.6656 0.2129
Hg 0.0005 0.9990 0.3334
Pm 0.3328 0.3344 0.7871

---

No. 8
Density functional theory data (GGA-PBE) for crystalline PmIn3Hg at its relaxed geometry.

calculated total energy = -2.86 eV per atom
calculated formation energy = -205.4 meV/atom

abc: 4.1836 4.8495 13.6265
angles: 100.25 90.00 90.00
Fractional positions:
In 0.0000 0.7261 0.4521
In 0.0000 0.2739 0.5479
Pm 0.5000 0.8342 0.6684
Hg 0.0000 0.6246 0.2493
In 0.5000 0.5523 0.1046
Hg 0.0000 0.3754 0.7507
In 0.5000 0.4477 0.8954
Pm 0.5000 0.1658 0.3316
In 0.0000 0.0560 0.1119
In 0.0000 0.9440 0.8881

---

No. 9
Density functional theory data (GGA-PBE) for crystalline PmInHg2 at its relaxed geometry.

calculated total energy = -2.23 eV per atom
energy above the lowest structure with this stoichiometry = 195 meV per atom
calculated formation energy = -203.4 meV/atom

abc: 4.2731 4.2731 7.7719
angles: 74.04 74.04 60.00
Fractional positions:
In 0.4992 0.4992 0.5024
Hg 0.0880 0.0880 0.7360
Hg 0.2454 0.2454 0.2637
Pm 0.6674 0.6674 0.9979

---

No. 10
Density functional theory data (GGA-PBE) for crystalline Pm2InHg4 at its relaxed geometry.

calculated total energy = -2.18 eV per atom
energy above the lowest structure with this stoichiometry = 78 meV per atom
calculated formation energy = -256.7 meV/atom

abc: 4.3480 4.3480 10.3307
angles: 102.15 102.15 90.00
Fractional positions:
Hg 0.1462 0.1462 0.2923
Hg 0.2500 0.7500 0.5000
Hg 0.7500 0.2500 0.5000
Hg 0.8538 0.8538 0.7077
Pm 0.5965 0.5965 0.1929
Pm 0.4035 0.4035 0.8071
In 0.0000 0.0000 0.0000

---

No. 11
Density functional theory data (GGA-PBE) for crystalline PmIn3Hg2 at its relaxed geometry.

calculated total energy = -2.52 eV per atom
calculated formation energy = -262.1 meV/atom

abc: 4.7055 4.6482 7.3679
angles: 108.39 90.00 90.00
Fractional positions:
In 0.5000 0.1723 0.3446
Hg 0.0000 0.6688 0.3375
In 0.5000 0.8277 0.6554
In 0.5000 0.5000 0.0000
Pm 0.0000 0.0000 0.0000
Hg 0.0000 0.3312 0.6625

---

No. 12
Density functional theory data (GGA-PBE) for crystalline PmIn3Hg3 at its relaxed geometry.

calculated total energy = -2.15 eV per atom
energy above the lowest structure with this stoichiometry = 3 meV per atom
calculated formation energy = -167.4 meV/atom

abc: 7.3548 7.3548 6.9423
angles: 88.05 88.05 93.71
Fractional positions:
In 0.7374 0.2626 0.0000
Hg 0.9979 0.9979 0.2271
Hg 0.5081 0.0023 0.7357
In 0.7735 0.7735 0.5092
Hg 0.9977 0.4919 0.2643
Hg 0.4919 0.9977 0.2643
In 0.6475 0.3525 0.5000
Hg 0.0023 0.5081 0.7357
Pm 0.2824 0.2824 0.9913
Pm 0.7176 0.7176 0.0087
In 0.2626 0.7374 0.0000
In 0.2265 0.2265 0.4908
Hg 0.0021 0.0021 0.7729
In 0.3525 0.6475 0.5000

---

Which formula does entry 2 have? Pm3InHg12

---

The highest calculated total energy belongs to which entry? Pm3InHg12

---

Number 4 is which compound? Pm4In2Hg3